{
  "formula": "TbPuTcIr",
  "functional": "PBE-GGA",
  "state": "optimized geometry",
  "formation_enthalpy_0k_ev_per_fu": -1.062,
  "lattice": [[6.8242, 0.0000, 0.0000], [0.0000, 6.8242, 0.0000], [0.0000, 0.0000, 6.8242]],
  "species": ["Tb", "Tb", "Tb", "Tb", "Pu", "Pu", "Pu", "Pu", "Tc", "Tc", "Tc", "Tc", "Ir", "Ir", "Ir", "Ir"],
  "frac_coords": [[0.0000, 0.0000, 0.0000], [0.0000, 0.5000, 0.5000], [0.5000, 0.0000, 0.5000], [0.5000, 0.5000, 0.0000], [0.0000, 0.0000, 0.5000], [0.0000, 0.5000, 0.0000], [0.5000, 0.0000, 0.0000], [0.5000, 0.5000, 0.5000], [0.2500, 0.2500, 0.7500], [0.2500, 0.7500, 0.2500], [0.7500, 0.2500, 0.2500], [0.7500, 0.7500, 0.7500], [0.2500, 0.2500, 0.2500], [0.2500, 0.7500, 0.7500], [0.7500, 0.2500, 0.7500], [0.7500, 0.7500, 0.2500]]
}